Entry 1:
{"formula": "Zn2BiH", "functional": "PBEsol", "state": "optimized geometry", "lattice": [[-1.330, -2.848, 3.376], [3.134, -2.519, 2.261], [1.023, 0.988, 4.388]], "species": ["Bi", "H", "Zn", "Zn"], "frac_coords": [[0.500, 0.500, 0.500], [0.000, 0.000, 0.000], [0.750, 0.750, 0.750], [0.250, 0.250, 0.250]], "dos_at_fermi_per_ev_cell": 1.948, "magmom_total_mub_per_fu": 0.2, "energy_ev_per_atom": -2.11}

Entry 2:
{"formula": "LaGaPd2", "functional": "PBEsol", "state": "optimized geometry", "lattice": [[5.776, 0.000, 0.000], [0.000, 7.013, 0.000], [0.000, 0.000, 7.551]], "species": ["Ga", "La", "La", "Pd", "Pd", "La", "Ga", "Pd", "Ga", "La", "Pd", "Pd", "Pd", "Pd", "Pd", "Ga"], "frac_coords": [[0.653, 0.750, 0.620], [0.349, 0.750, 0.966], [0.651, 0.250, 0.034], [0.913, 0.947, 0.824], [0.913, 0.553, 0.824], [0.151, 0.750, 0.466], [0.847, 0.750, 0.120], [0.587, 0.553, 0.324], [0.153, 0.250, 0.880], [0.849, 0.250, 0.534], [0.413, 0.053, 0.676], [0.413, 0.447, 0.676], [0.087, 0.447, 0.176], [0.087, 0.053, 0.176], [0.587, 0.947, 0.324], [0.347, 0.250, 0.380]], "dos_at_fermi_per_ev_cell": 6.940, "magmom_total_mub_per_fu": 0.0, "energy_ev_per_atom": -6.02}

Entry 3:
{"formula": "Nb2PS", "functional": "PBEsol", "state": "optimized geometry", "lattice": [[-1.473, -0.245, -4.096], [-2.933, -3.038, -1.084], [-4.103, 1.158, -0.914]], "species": ["Nb", "Nb", "S", "P"], "frac_coords": [[0.750, 0.750, 0.750], [0.250, 0.250, 0.250], [0.500, 0.500, 0.500], [0.000, 0.000, 0.000]], "dos_at_fermi_per_ev_cell": 4.435, "formation_energy_uncorrected_ev_per_atom": -0.74, "magmom_total_mub_per_fu": 0.0}

> Which formula does entry 1 have?

Zn2BiH